# 1
Here is crystalline NaCoI2N at its relaxed geometry from the Alexandria database. Energies are from PBE-GGA.

Summary:
**Energy above the lowest structure with this stoichiometry**: 0 meV/atom
**Raw total energy**: -0.2931 Ry/atom
**Formation energy without anion corrections**: -0.018 eV/atom

a = 5.6119 Å, b = 5.6119 Å, c = 3.5364 Å
α = 90.00°, β = 90.00°, γ = 90.00°
With the nearest neighbours (Å) after each atom.
Space group P4/mmm (No. 123)
Inequivalent atoms, fractional coordinates:
Na 0.0000 0.0000 0.0000 (multiplicity 1)  8 I 3.32, 2 Na 3.54
Co 0.5000 0.5000 0.5000 (multiplicity 1)  2 N 1.77
I 0.0000 0.5000 0.5000 (multiplicity 2)  2 Co 2.81
N 0.5000 0.5000 0.0000 (multiplicity 1)  2 Co 1.77



# 2
Here is crystalline Co3TcBr9 at its relaxed geometry from the Alexandria database. Energies are from PBE-GGA.

Summary:
**Raw total energy**: -0.2809 Ry/atom
**Formation energy without anion corrections**: -0.227 eV/atom

a = 17.6599 Å, b = 9.1712 Å, c = 12.8460 Å
α = 90.00°, β = 127.76°, γ = 90.00°
With the nearest neighbours (Å) after each atom.
Space group Cc (No. 9)
Inequivalent atoms, fractional coordinates:
Co 0.0000 0.0504 0.0000 (multiplicity 4)  4 Br 2.36-2.42
Co 0.1066 0.3889 0.9105 (multiplicity 4)  4 Br 2.38-2.42
Co 0.3634 0.0826 0.5501 (multiplicity 4)  4 Br 2.40-2.44
Tc 0.2366 0.2708 0.7294 (multiplicity 4)  6 Br 2.55-2.59
Br 0.0866 0.1384 0.6649 (multiplicity 4)  1 Co 2.42, 1 Tc 2.55
Br 0.1175 0.1446 0.9847 (multiplicity 4)  2 Co 2.36-2.40
Br 0.1251 0.4811 0.5863 (multiplicity 4)  1 Co 2.39, 1 Tc 2.56
Br 0.2290 0.1868 0.5311 (multiplicity 4)  1 Co 2.43, 1 Tc 2.58
Br 0.2470 0.3883 0.9182 (multiplicity 4)  1 Co 2.42, 1 Tc 2.56
Br 0.3356 0.0427 0.8622 (multiplicity 4)  1 Co 2.44, 1 Tc 2.59
Br 0.3841 0.4236 0.7992 (multiplicity 4)  1 Co 2.39, 1 Tc 2.59
Br 0.4457 0.1030 0.2154 (multiplicity 4)  2 Co 2.38-2.40
Br 0.4740 0.2798 0.6159 (multiplicity 4)  2 Co 2.39-2.40



# 3
Here is crystalline KWCl2 at its relaxed geometry from the Alexandria database. Energies are from PBE-GGA.

Summary:
**Energy above the lowest structure with this stoichiometry**: 338 meV/atom
**Raw total energy**: -0.3118 Ry/atom
**Formation energy without anion corrections**: 0.194 eV/atom

a = 5.7813 Å, b = 5.7813 Å, c = 13.5991 Å
α = 90.00°, β = 90.00°, γ = 90.00°
With the nearest neighbours (Å) after each atom.
Space group I-42d (No. 122)
Inequivalent atoms, fractional coordinates:
K 0.0000 0.0000 0.0000 (multiplicity 4)  4 Cl 3.09
W 0.0000 0.0000 0.5000 (multiplicity 4)  4 Cl 2.36
Cl 0.1308 0.2500 0.6250 (multiplicity 8)  2 W 2.36



# 4
Here is crystalline Fe2WAuSe at its relaxed geometry from the Alexandria database. Energies are from PBE-GGA.

Summary:
**Raw total energy**: -0.4131 Ry/atom
**Formation energy without anion corrections**: 1.708 eV/atom

a = 4.7378 Å, b = 4.7378 Å, c = 5.0283 Å
α = 90.00°, β = 90.00°, γ = 90.00°
With the nearest neighbours (Å) after each atom.
Space group P4/mmm (No. 123)
Inequivalent atoms, fractional coordinates:
Fe 0.0000 0.5000 0.0000 (multiplicity 2)  2 Au 2.37
W 0.0000 0.0000 0.5000 (multiplicity 1)  2 Au 2.51
Au 0.0000 0.0000 0.0000 (multiplicity 1)  4 Fe 2.37, 2 W 2.51
Se 0.5000 0.5000 0.5000 (multiplicity 1)  4 W 3.35, 8 Fe 3.45



# 5
Here is crystalline Gd3SnRu at its relaxed geometry from the Alexandria database. Energies are from PBE-GGA.

Summary:
**Raw total energy**: -0.8399 Ry/atom

a = 5.3024 Å, b = 5.3024 Å, c = 5.3024 Å
α = 90.00°, β = 90.00°, γ = 90.00°
With the nearest neighbours (Å) after each atom.
Space group Pm-3m (No. 221)
Inequivalent atoms, fractional coordinates:
Gd 0.0000 0.0000 0.5000 (multiplicity 3)  2 Ru 2.65
Sn 0.5000 0.5000 0.5000 (multiplicity 1)  12 Gd 3.75
Ru 0.0000 0.0000 0.0000 (multiplicity 1)  6 Gd 2.65



# 6
Here is crystalline SrTl2GeCl6 at its relaxed geometry from the Alexandria database. Energies are from PBE-GGA.

Summary:
**Raw total energy**: -0.2635 Ry/atom
**Formation energy without anion corrections**: -1.374 eV/atom

a = 7.6588 Å, b = 7.6588 Å, c = 19.0135 Å
α = 90.00°, β = 90.00°, γ = 120.00°
With the nearest neighbours (Å) after each atom.
Space group R3 (No. 146, hexagonal axes)
Inequivalent atoms, fractional coordinates:
Sr 0.0000 0.0000 0.0000 (multiplicity 3)  6 Cl 2.88-2.91
Tl 0.0000 0.0000 0.2787 (multiplicity 3)  6 Cl 3.27-3.30
Tl 0.0000 0.0000 0.7792 (multiplicity 3)  6 Cl 3.26-3.33
Ge 0.0000 0.0000 0.4977 (multiplicity 3)  6 Cl 2.69-2.71
Cl 0.0821 0.3345 0.5725 (multiplicity 9)  1 Ge 2.71, 1 Sr 2.91
Cl 0.0958 0.7358 0.0781 (multiplicity 9)  1 Ge 2.69, 1 Sr 2.88



Number 1: magnetic moment 0.001 μB/cell. Number 2: magnetic moment 44.055 μB/cell. Number 3: magnetic moment 0.000 μB/cell. Number 4: magnetic moment 8.937 μB/cell. Number 5: magnetic moment 21.499 μB/cell. Number 6: magnetic moment 0.000 μB/cell.